1.
## CaLaIn3 (PBE)

Data for a geometry-optimized CaLaIn3 structure.

Geometry as POSCAR:
```
CaLaIn3
1.0
5.951 0.000 0.000
0.000 5.951 0.000
0.000 0.000 5.951
Ca La In
1 1 3
Direct
0.000 0.000 0.000
0.500 0.500 0.500
0.000 0.500 0.500
0.500 0.000 0.500
0.500 0.500 0.000
```

Calculated values
**Polymorph energy (0 for the lowest one)**: 162.5 meV per atom
**Energy relative to the elements**: 0.394 eV/atom
**Spin magnetization**: 0.000 μB/f.u.

=====

2.
## CuIr2 (PBE)

Data for a geometry-optimized CuIr2 structure.

Geometry as POSCAR:
```
CuIr2
1.0
0.000 3.631 3.631
3.631 0.000 3.631
3.631 3.631 0.000
Cu Ir
2 4
Direct
0.125 0.125 0.125
0.875 0.875 0.875
0.000 0.500 0.500
0.500 0.000 0.500
0.500 0.500 0.000
0.500 0.500 0.500
```

Calculated values
**Polymorph energy (0 for the lowest one)**: 580.6 meV per atom
**Energy relative to the elements**: 0.641 eV/atom
**Spin magnetization**: 1.098 μB/f.u.

=====

3.
## ReTc (PBE)

Data for a geometry-optimized ReTc structure.

Geometry as POSCAR:
```
ReTc
1.0
5.057 -1.384 0.000
5.057 1.384 0.000
-2.267 0.000 4.218
Re Tc
2 2
Direct
0.125 0.125 0.291
0.875 0.875 0.709
0.374 0.374 0.204
0.626 0.626 0.796
```

Calculated values
**Polymorph energy (0 for the lowest one)**: 9.4 meV per atom
**Energy relative to the elements**: 0.003 eV/atom
**Spin magnetization**: 0.000 μB/f.u.

=====

4.
## Na3TaNi (PBE)

Data for a geometry-optimized Na3TaNi structure.

Geometry as POSCAR:
```
Na3TaNi
1.0
5.006 0.000 0.000
0.000 5.006 0.000
0.000 0.000 5.006
Na Ta Ni
3 1 1
Direct
0.000 0.000 0.500
0.000 0.500 0.000
0.500 0.000 0.000
0.500 0.500 0.500
0.000 0.000 0.000
```

Calculated values
**Energy relative to the elements**: 1.659 eV/atom
**Spin magnetization**: 0.000 μB/f.u.

=====

5.
## MnZn2ReBr (PBE)

Data for a geometry-optimized MnZn2ReBr structure.

Geometry as POSCAR:
```
MnZn2ReBr
1.0
4.767 0.000 0.000
0.000 4.767 0.000
0.000 0.000 4.490
Mn Zn Re Br
1 2 1 1
Direct
0.000 0.000 0.000
0.000 0.500 0.500
0.500 0.000 0.500
0.500 0.500 0.000
0.000 0.000 0.500
```

Calculated values
**Raw formation energy**: 1755 meV/atom
**Spin magnetization**: 5.264 μB/f.u.

=====

6.
## Ba2VIr (PBE)

Data for a geometry-optimized Ba2VIr structure.

Geometry as POSCAR:
```
Ba2VIr
1.0
0.000 3.895 3.895
3.895 0.000 3.895
3.895 3.895 0.000
Ba V Ir
2 1 1
Direct
0.250 0.250 0.250
0.750 0.750 0.750
0.000 0.000 0.000
0.500 0.500 0.500
```

Calculated values
**Polymorph energy (0 for the lowest one)**: 346.3 meV per atom
**Energy relative to the elements**: 0.671 eV/atom
**Spin magnetization**: 4.305 μB/f.u.

=====

7.
## DyMgMnC (PBE)

Data for a geometry-optimized DyMgMnC structure.

Geometry as POSCAR:
```
DyMgMnC
1.0
3.654 0.000 0.000
0.000 3.654 0.000
0.000 0.000 10.309
Dy Mg Mn C
2 2 2 2
Direct
0.250 0.250 0.212
0.750 0.750 0.788
0.250 0.750 0.500
0.750 0.250 0.500
0.250 0.750 0.000
0.750 0.250 0.000
0.250 0.250 0.922
0.750 0.750 0.078
```

Calculated values
**Energy relative to the elements**: 0.077 eV/atom
**Spin magnetization**: 0.573 μB/f.u.

=====

8.
## CsNbAsSe2 (PBE)

Data for a geometry-optimized CsNbAsSe2 structure.

Geometry as POSCAR:
```
CsNbAsSe2
1.0
5.201 0.000 0.000
0.000 5.201 0.000
0.000 0.000 5.149
Cs Nb As Se
1 1 1 2
Direct
0.000 0.000 0.000
0.500 0.500 0.500
0.500 0.500 0.000
0.000 0.500 0.500
0.500 0.000 0.500
```

Calculated values
**Polymorph energy (0 for the lowest one)**: 0.0 meV per atom
**Raw formation energy**: -536 meV/atom
**Spin magnetization**: 0.000 μB/f.u.

=====

no.,D(E_F) (states/eV per cell)
1,4.51
2,10.80
3,4.25
4,9.30
5,3.38
6,2.76
7,6.22
8,1.89